CoTcHg2 | SCAN | single point on PBEsol structure

The value obtained for the calculated density is 14.666 Mg/m³. The final energy is -186.1 eV/cell. The calculation puts the formation energy at 0.6582 eV/atom. Its total moment is 3.41 Bohr magnetons per cell. The energy above the most stable polymorph in this dataset comes out at 0 meV per atom.

It has space group P4/mmm (No. 123), with a = 2.9935 Å, b = 2.9935 Å, c = 7.0518 Å, α = 90.00°, β = 90.00° and γ = 90.00°. The asymmetric unit holds Co at (0.0000, 0.0000, 0.0000), Tc at (0.0000, 0.0000, 0.5000) and Hg at (0.5000, 0.5000, 0.2335).